# Pm2PrRh2 PBE-GGA optimized geometry
# * calculated total energy: -6.28 eV per atom
data_Pm2PrRh2
_cell_length_a 3.957
_cell_length_b 7.643
_cell_length_c 8.949
_cell_angle_alpha 90.00
_cell_angle_beta 102.77
_cell_angle_gamma 90.00
_space_group_name_H-M_alt 'P 1'
_space_group_IT_number 1
_space_group_name_Hall 'P 1'
loop_
_atom_site_label
_atom_site_type_symbol
_atom_site_fract_x
_atom_site_fract_y
_atom_site_fract_z
_atom_site_occupancy
Pm1 Pm 0.031 0.247 0.061 1
Pm2 Pm 0.186 0.523 0.373 1
Pm3 Pm 0.814 0.023 0.627 1
Pm4 Pm 0.969 0.747 0.939 1
Pr1 Pr 0.625 0.914 0.251 1
Pr2 Pr 0.375 0.414 0.749 1
Rh1 Rh 0.550 0.547 0.100 1
Rh2 Rh 0.196 0.135 0.392 1
Rh3 Rh 0.804 0.635 0.608 1
Rh4 Rh 0.450 0.047 0.900 1